Density functional theory data (PBE) for crystalline Ba6PAu2Br3 at its relaxed geometry.

a = 8.1857 Å, b = 14.1875 Å, c = 8.6574 Å
α = 90.00°, β = 108.45°, γ = 90.00°
Closest atoms and distances in Å follow each position.
Space group C2/m (No. 12)
Inequivalent atoms, fractional coordinates:
Ba: 0.2334 0.1606 0.2193 (multiplicity 8)  1 P 3.19, 2 Au 3.31-3.32, 2 Br 3.54
Ba: 0.2484 0.0000 0.7809 (multiplicity 4)  1 P 3.19, 2 Au 3.31, 2 Br 3.51
P: 0.0000 0.0000 0.0000 (multiplicity 2)  6 Ba 3.19
Au: 0.0000 0.3331 0.0000 (multiplicity 4)  6 Ba 3.31-3.32
Br: 0.0000 0.1637 0.5000 (multiplicity 4)  6 Ba 3.51-3.68
Br: 0.0000 0.5000 0.5000 (multiplicity 2)  6 Ba 3.54-3.65

Magnetization = 0.125 μB per atom
Energy = -3.6488 eV/atom
D(E_F) = 19.4 states/eV per cell
Formation energy from raw total energies = -1.27 eV per atom

Density functional theory data (PBE) for crystalline Al2PtAu at its relaxed geometry.

a = 6.3697 Å, b = 6.3697 Å, c = 6.3697 Å
α = 90.00°, β = 90.00°, γ = 90.00°
Closest atoms and distances in Å follow each position.
Space group F-43m (No. 216)
Inequivalent atoms, fractional coordinates:
Al: 0.0000 0.0000 0.0000 (multiplicity 4)  4 Al 2.76, 4 Au 2.76
Al: 0.2500 0.2500 0.2500 (multiplicity 4)  4 Al 2.76, 4 Pt 2.76
Pt: 0.0000 0.0000 0.5000 (multiplicity 4)  4 Au 2.76, 4 Al 2.76
Au: 0.2500 0.2500 0.7500 (multiplicity 4)  4 Al 2.76, 4 Pt 2.76

Magnetization = 0.000 μB per atom
Energy above the lowest structure with this stoichiometry = 435.9 meV per atom
Energy = -4.4627 eV/atom
D(E_F) = 9.3 states/eV per cell
Calculated formation energy = -1.05 eV per formula unit

Density functional theory data (PBE) for crystalline ScNi2OsRh at its relaxed geometry.

a = 4.4646 Å, b = 4.4646 Å, c = 4.6523 Å
α = 90.00°, β = 90.00°, γ = 90.00°
Closest atoms and distances in Å follow each position.
Space group P4/mmm (No. 123)
Inequivalent atoms, fractional coordinates:
Sc: 0.0000 0.0000 0.0000 (multiplicity 1)  2 Rh 2.33
Ni: 0.0000 0.5000 0.5000 (multiplicity 2)  2 Rh 2.23
Os: 0.5000 0.5000 0.0000 (multiplicity 1)  4 Sc 3.16, 8 Ni 3.22
Rh: 0.0000 0.0000 0.5000 (multiplicity 1)  4 Ni 2.23, 2 Sc 2.33

Magnetization = 0.720 μB per atom
Energy = -6.0545 eV/atom
D(E_F) = 7.8 states/eV per cell
Calculated formation energy = 6.20 eV per formula unit

Question: The lowest energy belongs to which entry?
Answer: ScNi2OsRh

Question: What is the formula in the first record?
Answer: Ba6PAu2Br3

Copy entry 3 word for word.
Density functional theory data (PBE) for crystalline ScNi2OsRh at its relaxed geometry.

a = 4.4646 Å, b = 4.4646 Å, c = 4.6523 Å
α = 90.00°, β = 90.00°, γ = 90.00°
Closest atoms and distances in Å follow each position.
Space group P4/mmm (No. 123)
Inequivalent atoms, fractional coordinates:
Sc: 0.0000 0.0000 0.0000 (multiplicity 1)  2 Rh 2.33
Ni: 0.0000 0.5000 0.5000 (multiplicity 2)  2 Rh 2.23
Os: 0.5000 0.5000 0.0000 (multiplicity 1)  4 Sc 3.16, 8 Ni 3.22
Rh: 0.0000 0.0000 0.5000 (multiplicity 1)  4 Ni 2.23, 2 Sc 2.33

Magnetization = 0.720 μB per atom
Energy = -6.0545 eV/atom
D(E_F) = 7.8 states/eV per cell
Calculated formation energy = 6.20 eV per formula unit